No. 1
Computed, not measured: a relaxed Sc3CrAs crystal at the PBE level of DFT.

## Properties
Total magnetic moment   0.000 μB per atom
ΔH_f (0 K)   1.3 eV per formula unit

a = 4.7714 Å, b = 4.7714 Å, c = 4.7714 Å
α = 90.00°, β = 90.00°, γ = 90.00°
Space group Pm-3m (No. 221)
Inequivalent atoms, fractional coordinates:
Sc  0.0000  0.0000  0.5000
Cr  0.0000  0.0000  0.0000
As  0.5000  0.5000  0.5000

---

No. 2
Computed, not measured: a relaxed Hf3SnO crystal at the PBE level of DFT.

## Properties
Raw formation energy   -0.982 eV per atom
Total magnetic moment   0.000 μB per atom

a = 4.4743 Å, b = 4.4743 Å, c = 4.4743 Å
α = 90.00°, β = 90.00°, γ = 90.00°
Space group Pm-3m (No. 221)
Inequivalent atoms, fractional coordinates:
Hf  0.0000  0.0000  0.5000
Sn  0.5000  0.5000  0.5000
O  0.0000  0.0000  0.0000

---

No. 3
Computed, not measured: a relaxed TiCu2NiOs crystal at the PBE level of DFT.

## Properties
Total magnetic moment   0.000 μB per atom
ΔH_f (0 K)   4.7 eV per formula unit

a = 4.2523 Å, b = 4.2523 Å, c = 4.4630 Å
α = 90.00°, β = 90.00°, γ = 90.00°
Space group P4/mmm (No. 123)
Inequivalent atoms, fractional coordinates:
Ti  0.0000  0.0000  0.0000
Cu  0.0000  0.5000  0.5000
Ni  0.5000  0.5000  0.5000
Os  0.5000  0.5000  0.0000

---

No. 4
Computed, not measured: a relaxed MgAs5 crystal at the PBE level of DFT.

## Properties
Total magnetic moment   0.000 μB per atom
ΔH_f (0 K)   2.1 eV per formula unit

a = 7.9033 Å, b = 7.9033 Å, c = 7.9033 Å
α = 90.00°, β = 90.00°, γ = 90.00°
Space group F-43m (No. 216)
Inequivalent atoms, fractional coordinates:
Mg  0.0000  0.0000  0.0000
As  0.1259  0.1259  0.3741
As  0.2500  0.2500  0.7500

---

No. 5
Computed, not measured: a relaxed Nd2SmY5Th crystal at the PBE level of DFT.

## Properties
Total magnetic moment   0.000 μB per atom
ΔH_f (0 K)   2.5 eV per formula unit

a = 8.7621 Å, b = 8.7621 Å, c = 15.5533 Å
α = 90.00°, β = 90.00°, γ = 90.00°
Space group I4/mcm (No. 140)
Inequivalent atoms, fractional coordinates:
Nd  0.1162  0.3838  0.0000
Sm  0.0000  0.5000  0.2500
Y  0.0000  0.0000  0.0000
Y  0.2120  0.2880  0.3612
Th  0.0000  0.0000  0.2500

---

No. 6
Computed, not measured: a relaxed Tb2CeLu crystal at the PBE level of DFT.

## Properties
Total magnetic moment   0.139 μB per atom
ΔH_f (0 K)   0.3 eV per formula unit

a = 4.9693 Å, b = 4.9693 Å, c = 4.9864 Å
α = 90.00°, β = 90.00°, γ = 90.00°
Space group P4/mmm (No. 123)
Inequivalent atoms, fractional coordinates:
Tb  0.0000  0.5000  0.0000
Ce  0.0000  0.0000  0.5000
Lu  0.5000  0.5000  0.5000

---

No. 7
Computed, not measured: a relaxed KTcHg2Cl8 crystal at the PBE level of DFT.

## Properties
Raw formation energy   -0.841 eV per atom
Total magnetic moment   0.167 μB per atom

a = 6.7297 Å, b = 7.2346 Å, c = 8.6153 Å
α = 67.23°, β = 86.52°, γ = 81.93°
Space group P-1 (No. 2)
Inequivalent atoms, fractional coordinates:
K  0.0000  0.0000  0.0000
Tc  0.0000  0.5000  0.5000
Hg  0.4744  0.4750  0.2325
Cl  0.1494  0.4225  0.7665
Cl  0.2295  0.2471  0.4514
Cl  0.2385  0.7264  0.3638
Cl  0.4102  0.7726  0.9241

---

No. 8
Computed, not measured: a relaxed TbCuAu2 crystal at the PBE level of DFT.

## Properties
Total magnetic moment   0.000 μB per atom
ΔH_f (0 K)   -2.2 eV per formula unit

a = 4.5443 Å, b = 4.5443 Å, c = 13.4510 Å
α = 90.00°, β = 90.00°, γ = 120.00°
Space group R-3m (No. 166, hexagonal axes)
Inequivalent atoms, fractional coordinates:
Tb  0.0000  0.0000  0.0000
Cu  0.0000  0.0000  0.5000
Au  0.0000  0.0000  0.2237

---

No. 9
Computed, not measured: a relaxed B3RhAu crystal at the PBE level of DFT.

## Properties
Total magnetic moment   0.000 μB per atom
ΔH_f (0 K)   9.3 eV per formula unit

a = 4.1069 Å, b = 4.1069 Å, c = 4.1069 Å
α = 90.00°, β = 90.00°, γ = 90.00°
Space group Pm-3m (No. 221)
Inequivalent atoms, fractional coordinates:
B  0.0000  0.0000  0.5000
Rh  0.5000  0.5000  0.5000
Au  0.0000  0.0000  0.0000

---

No. 10
Computed, not measured: a relaxed Co2BPd crystal at the PBE level of DFT.

## Properties
Total magnetic moment   0.835 μB per atom
ΔH_f (0 K)   2.2 eV per formula unit

a = 3.2994 Å, b = 3.2994 Å, c = 17.1406 Å
α = 90.00°, β = 90.00°, γ = 90.00°
Space group I-42d (No. 122)
Inequivalent atoms, fractional coordinates:
Co  0.2145  0.2500  0.1250
B  0.0000  0.0000  0.0000
Pd  0.0000  0.0000  0.5000

---

No. 11
Computed, not measured: a relaxed Pm2SiSe crystal at the PBE level of DFT.

## Properties
Raw formation energy   -1.308 eV per atom
Total magnetic moment   0.000 μB per atom

a = 4.2019 Å, b = 5.9618 Å, c = 8.5544 Å
α = 90.00°, β = 90.00°, γ = 90.00°
Space group Pmmn (No. 59, origin choice 2)
Inequivalent atoms, fractional coordinates:
Pm  0.2500  0.2500  0.1208
Pm  0.2500  0.2500  0.6356
Si  0.2500  0.7500  0.1265
Se  0.2500  0.7500  0.6207

---

No. 12
Computed, not measured: a relaxed BaSc2In2 crystal at the PBE level of DFT.

## Properties
Total magnetic moment   0.000 μB per atom
ΔH_f (0 K)   -1.1 eV per formula unit

a = 4.8166 Å, b = 4.8166 Å, c = 13.4794 Å
α = 90.00°, β = 90.00°, γ = 90.00°
Space group I4/mmm (No. 139)
Inequivalent atoms, fractional coordinates:
Ba  0.0000  0.0000  0.0000
Sc  0.0000  0.5000  0.2500
In  0.0000  0.0000  0.3880